[1]
Compound: Tb2TlPt
Source: Alexandria via LeMat-Bulk
Functional: PBE-GGA
Structure: relaxed

Calculated values
As for the crystal system: trigonal. Its space group is R-3m, No. 166. Its density of states at the Fermi level is 0.947 states/eV/atom. The calculation puts the formation energy from the elements at -2.869 eV/f.u.

a b c (Å): 3.989 3.989 8.477
angles (deg): 76.39 76.39 60.00
Sites, in units of the cell vectors:
Tl 0.500 0.500 0.500
Tb 0.266 0.266 0.201
Tb 0.734 0.734 0.799
Pt 0.000 0.000 0.000

***

[2]
Compound: Tb3TlPt
Source: Alexandria via LeMat-Bulk
Functional: PBE-GGA
Structure: relaxed

Calculated values
As for the crystal system: orthorhombic. Its space group is Pmmn, No. 59. Its density of states at the Fermi level is 0.928 states/eV/atom. The calculation puts the formation energy from the elements at -3.265 eV/f.u.

a b c (Å): 4.797 6.923 8.479
angles (deg): 90.00 90.00 90.00
Sites, in units of the cell vectors:
Tb 0.750 0.750 0.065
Tb 0.250 0.250 0.935
Tb 0.750 0.002 0.662
Tb 0.750 0.498 0.662
Tb 0.250 0.998 0.338
Tb 0.250 0.502 0.338
Tl 0.750 0.250 0.168
Tl 0.250 0.750 0.832
Pt 0.750 0.750 0.398
Pt 0.250 0.250 0.602

***

[3]
Compound: Tb2TlPt9
Source: Alexandria via LeMat-Bulk
Functional: PBE-GGA
Structure: relaxed

Calculated values
As for the crystal system: tetragonal. Its space group is P4/mmm, No. 123. Its density of states at the Fermi level is 1.085 states/eV/atom. The calculation puts the formation energy from the elements at -8.266 eV/f.u.

a b c (Å): 4.122 4.122 12.356
angles (deg): 90.00 90.00 90.00
Sites, in units of the cell vectors:
Tb 0.000 0.000 0.333
Tb 0.000 0.000 0.667
Tl 0.000 0.000 0.000
Pt 0.500 0.500 0.000
Pt 0.500 0.500 0.332
Pt 0.500 0.500 0.668
Pt 0.500 0.000 0.166
Pt 0.500 0.000 0.500
Pt 0.500 0.000 0.834
Pt 0.000 0.500 0.166
Pt 0.000 0.500 0.500
Pt 0.000 0.500 0.834

***

Q: What is the formula in the second record?
A: Tb3TlPt

***

Q: What is the formula in the third record?
A: Tb2TlPt9

***

Repeat the second record exactly.
Compound: Tb3TlPt
Source: Alexandria via LeMat-Bulk
Functional: PBE-GGA
Structure: relaxed

Calculated values
As for the crystal system: orthorhombic. Its space group is Pmmn, No. 59. Its density of states at the Fermi level is 0.928 states/eV/atom. The calculation puts the formation energy from the elements at -3.265 eV/f.u.

a b c (Å): 4.797 6.923 8.479
angles (deg): 90.00 90.00 90.00
Sites, in units of the cell vectors:
Tb 0.750 0.750 0.065
Tb 0.250 0.250 0.935
Tb 0.750 0.002 0.662
Tb 0.750 0.498 0.662
Tb 0.250 0.998 0.338
Tb 0.250 0.502 0.338
Tl 0.750 0.250 0.168
Tl 0.250 0.750 0.832
Pt 0.750 0.750 0.398
Pt 0.250 0.250 0.602